PBE-GGA DyHfCr4, relaxed; ρ = 9.69 g/cm3; formation energy from the elements = 162 meV/atom
1.0
0.0000 3.6097 3.6097
3.6097 0.0000 3.6097
3.6097 3.6097 0.0000
Dy Hf Cr
1 1 4
Cartesian
0.0000 0.0000 0.0000
5.4145 5.4145 5.4145
2.7068 2.7068 2.7068
4.5125 4.5125 2.7068
4.5125 2.7068 4.5125
2.7068 4.5125 4.5125